a | First-principles (PBE-GGA) data for a relaxed KCaOs crystal, as listed in Alexandria via LeMat-Bulk.

Values from the calculation:
Symmetry: No. 156

Lattice parameters (Å, degrees): 3.212 3.212 8.725 90.00 90.00 120.00
Fractional coordinates of all 3 atoms:
1 Os 0.333 0.667 0.686
2 K 0.667 0.333 0.381
3 Ca 0.000 0.000 0.933

b | First-principles (PBE-GGA) data for a relaxed KCaOs crystal, as listed in Alexandria via LeMat-Bulk.

Values from the calculation:
Symmetry: No. 216

Lattice parameters (Å, degrees): 4.993 4.993 4.993 60.00 60.00 60.00
Fractional coordinates of all 3 atoms:
1 Os 0.000 0.000 0.000
2 Ca 0.500 0.500 0.500
3 K 0.750 0.750 0.750

Name the most stable of them. a.

a | First-principles (PBE-GGA) data for a relaxed KCaOs crystal, as listed in Alexandria via LeMat-Bulk.

Values from the calculation:
Symmetry: No. 44

Lattice parameters (Å, degrees): 6.783 6.783 6.783 155.87 140.33 46.97
Fractional coordinates of all 3 atoms:
1 K 0.318 0.318 0.000
2 Ca 0.044 0.044 0.000
3 Os 0.638 0.638 0.000

b | First-principles (PBE-GGA) data for a relaxed KCaOs crystal, as listed in Alexandria via LeMat-Bulk.

Values from the calculation:
Symmetry: No. 216

Lattice parameters (Å, degrees): 5.120 5.120 5.120 60.00 60.00 60.00
Fractional coordinates of all 3 atoms:
1 Os 0.750 0.750 0.750
2 Ca 0.000 0.000 0.000
3 K 0.500 0.500 0.500

c | First-principles (PBE-GGA) data for a relaxed KCaOs crystal, as listed in Alexandria via LeMat-Bulk.

Values from the calculation:
Symmetry: No. 107

Lattice parameters (Å, degrees): 8.725 8.726 3.154 79.58 79.59 20.83
Fractional coordinates of all 3 atoms:
1 K 0.303 0.303 0.697
2 Os 0.655 0.655 0.345
3 Ca 0.043 0.043 0.957

Name the most stable of them. a.

a | First-principles (PBE-GGA) data for a relaxed KCaP2 crystal, as listed in Alexandria via LeMat-Bulk.

Values from the calculation:
Symmetry: No. 12

Lattice parameters (Å, degrees): 7.206 5.360 3.283 89.86 63.11 122.26
Fractional coordinates of all 4 atoms:
1 K 0.500 0.500 0.000
2 Ca 0.000 0.500 0.500
3 P 0.500 0.000 0.500
4 P 0.000 0.000 0.000

b | First-principles (PBE-GGA) data for a relaxed KCaP2 crystal, as listed in Alexandria via LeMat-Bulk.

Values from the calculation:
Symmetry: No. 166

Lattice parameters (Å, degrees): 9.420 9.420 9.420 21.96 21.96 21.96
Fractional coordinates of all 4 atoms:
1 Ca 0.250 0.250 0.250
2 P 0.508 0.508 0.508
3 P 0.992 0.992 0.992
4 K 0.750 0.750 0.750

Name the most stable of them. a.

a | First-principles (PBE-GGA) data for a relaxed KCa2P2 crystal, as listed in Alexandria via LeMat-Bulk.

Values from the calculation:
Symmetry: No. 127

Lattice parameters (Å, degrees): 8.482 8.482 3.369 90.00 90.00 90.00
Fractional coordinates of all 10 atoms:
1 K 0.000 0.000 0.000
2 K 0.500 0.500 0.000
3 Ca 0.867 0.633 0.000
4 Ca 0.367 0.867 0.000
5 Ca 0.133 0.367 0.000
6 Ca 0.633 0.133 0.000
7 P 0.835 0.335 0.500
8 P 0.335 0.165 0.500
9 P 0.165 0.665 0.500
10 P 0.665 0.835 0.500

b | First-principles (PBE-GGA) data for a relaxed KCa2P2 crystal, as listed in Alexandria via LeMat-Bulk.

Values from the calculation:
Symmetry: No. 139

Lattice parameters (Å, degrees): 4.967 4.967 6.727 68.33 68.33 90.00
Fractional coordinates of all 5 atoms:
1 Ca 0.250 0.750 0.500
2 Ca 0.750 0.250 0.500
3 P 0.381 0.381 0.237
4 P 0.619 0.619 0.763
5 K 0.000 0.000 0.000

Name the most stable of them. a.

a | First-principles (PBE-GGA) data for a relaxed KCa3P crystal, as listed in Alexandria via LeMat-Bulk.

Values from the calculation:
Symmetry: No. 221

Lattice parameters (Å, degrees): 5.765 5.765 5.765 90.00 90.00 90.00
Fractional coordinates of all 5 atoms:
1 Ca 0.000 0.500 0.000
2 Ca 0.000 0.000 0.500
3 Ca 0.500 0.000 0.000
4 P 0.000 0.000 0.000
5 K 0.500 0.500 0.500

b | First-principles (PBE-GGA) data for a relaxed KCa3P crystal, as listed in Alexandria via LeMat-Bulk.

Values from the calculation:
Symmetry: No. 221

Lattice parameters (Å, degrees): 5.912 5.912 5.912 90.00 90.00 90.00
Fractional coordinates of all 5 atoms:
1 Ca 0.000 0.500 0.000
2 Ca 0.500 0.000 0.000
3 Ca 0.000 0.000 0.500
4 K 0.000 0.000 0.000
5 P 0.500 0.500 0.500

Name the most stable of them. a.

a | First-principles (PBE-GGA) data for a relaxed KCa3Pb crystal, as listed in Alexandria via LeMat-Bulk.

Values from the calculation:
Symmetry: No. 221

Lattice parameters (Å, degrees): 6.128 6.128 6.128 90.00 90.00 90.00
Fractional coordinates of all 5 atoms:
1 Ca 0.000 0.500 0.000
2 Ca 0.500 0.000 0.000
3 Ca 0.000 0.000 0.500
4 Pb 0.500 0.500 0.500
5 K 0.000 0.000 0.000

b | First-principles (PBE-GGA) data for a relaxed KCa3Pb crystal, as listed in Alexandria via LeMat-Bulk.

Values from the calculation:
Symmetry: No. 221

Lattice parameters (Å, degrees): 6.215 6.215 6.215 90.00 90.00 90.00
Fractional coordinates of all 5 atoms:
1 Pb 0.000 0.000 0.000
2 Ca 0.000 0.000 0.500
3 Ca 0.500 0.000 0.000
4 Ca 0.000 0.500 0.000
5 K 0.500 0.500 0.500

Name the most stable of them. b.

a | First-principles (PBE-GGA) data for a relaxed K2Ca2Pd crystal, as listed in Alexandria via LeMat-Bulk.

Values from the calculation:
Symmetry: No. 127

Lattice parameters (Å, degrees): 7.740 7.740 7.096 90.00 90.00 90.00
Fractional coordinates of all 10 atoms:
1 Pd 0.500 0.500 0.000
2 Pd 0.000 0.000 0.000
3 K 0.816 0.316 0.500
4 K 0.184 0.684 0.500
5 K 0.684 0.816 0.500
6 K 0.316 0.184 0.500
7 Ca 0.178 0.322 0.000
8 Ca 0.322 0.822 0.000
9 Ca 0.678 0.178 0.000
10 Ca 0.822 0.678 0.000

b | First-principles (PBE-GGA) data for a relaxed K2Ca2Pd crystal, as listed in Alexandria via LeMat-Bulk.

Values from the calculation:
Symmetry: No. 139

Lattice parameters (Å, degrees): 4.312 4.312 10.971 78.67 78.67 90.00
Fractional coordinates of all 5 atoms:
1 K 0.750 0.250 0.500
2 K 0.250 0.750 0.500
3 Pd 0.000 0.000 0.000
4 Ca 0.576 0.576 0.848
5 Ca 0.424 0.424 0.152

Name the most stable of them. a.

a | First-principles (PBE-GGA) data for a relaxed KSr2CaPd crystal, as listed in Alexandria via LeMat-Bulk.

Values from the calculation:
Symmetry: No. 123

Lattice parameters (Å, degrees): 5.994 5.994 6.367 90.00 90.00 90.00
Fractional coordinates of all 5 atoms:
1 Ca 0.500 0.500 0.500
2 Sr 0.500 0.000 0.000
3 Sr 0.000 0.500 0.000
4 Pd 0.000 0.000 0.000
5 K 0.000 0.000 0.500

b | First-principles (PBE-GGA) data for a relaxed KSr2CaPd crystal, as listed in Alexandria via LeMat-Bulk.

Values from the calculation:
Symmetry: No. 123

Lattice parameters (Å, degrees): 6.140 6.140 5.862 90.00 90.00 90.00
Fractional coordinates of all 5 atoms:
1 Pd 0.000 0.000 0.000
2 Sr 0.000 0.500 0.000
3 Sr 0.500 0.000 0.000
4 K 0.500 0.500 0.500
5 Ca 0.000 0.000 0.500

Name the most stable of them. b.

a | First-principles (PBE-GGA) data for a relaxed KCa2Pm crystal, as listed in Alexandria via LeMat-Bulk.

Values from the calculation:
Symmetry: No. 123

Lattice parameters (Å, degrees): 3.836 3.836 12.140 90.00 90.00 90.00
Fractional coordinates of all 4 atoms:
1 K 0.500 0.500 0.500
2 Pm 0.500 0.500 0.000
3 Ca 0.000 0.000 0.213
4 Ca 0.000 0.000 0.787

b | First-principles (PBE-GGA) data for a relaxed KCa2Pm crystal, as listed in Alexandria via LeMat-Bulk.

Values from the calculation:
Symmetry: No. 166

Lattice parameters (Å, degrees): 3.867 3.867 13.661 81.86 81.86 60.00
Fractional coordinates of all 4 atoms:
1 Pm 0.000 0.000 0.000
2 Ca 0.258 0.258 0.225
3 Ca 0.742 0.742 0.775
4 K 0.500 0.500 0.500

Name the most stable of them. a.

a | First-principles (PBE-GGA) data for a relaxed KCa2Pr crystal, as listed in Alexandria via LeMat-Bulk.

Values from the calculation:
Symmetry: No. 166

Lattice parameters (Å, degrees): 3.886 3.886 13.702 81.85 81.85 60.00
Fractional coordinates of all 4 atoms:
1 K 0.500 0.500 0.500
2 Ca 0.258 0.258 0.226
3 Ca 0.742 0.742 0.774
4 Pr 0.000 0.000 0.000

b | First-principles (PBE-GGA) data for a relaxed KCa2Pr crystal, as listed in Alexandria via LeMat-Bulk.

Values from the calculation:
Symmetry: No. 123

Lattice parameters (Å, degrees): 3.853 3.853 12.189 90.00 90.00 90.00
Fractional coordinates of all 4 atoms:
1 Ca 0.000 0.000 0.215
2 Ca 0.000 0.000 0.785
3 Pr 0.500 0.500 0.000
4 K 0.500 0.500 0.500

Name the most stable of them. b.

a | First-principles (PBE-GGA) data for a relaxed KCa2Pt crystal, as listed in Alexandria via LeMat-Bulk.

Values from the calculation:
Symmetry: No. 123

Lattice parameters (Å, degrees): 5.100 5.100 4.493 90.00 90.00 90.00
Fractional coordinates of all 4 atoms:
1 Ca 0.500 0.500 0.000
2 Ca 0.000 0.000 0.000
3 Pt 0.000 0.500 0.500
4 K 0.500 0.000 0.500

b | First-principles (PBE-GGA) data for a relaxed KCa2Pt crystal, as listed in Alexandria via LeMat-Bulk.

Values from the calculation:
Symmetry: No. 71

Lattice parameters (Å, degrees): 7.038 7.038 7.038 148.03 127.18 63.08
Fractional coordinates of all 4 atoms:
1 K 0.750 0.250 0.500
2 Ca 0.079 0.079 0.000
3 Ca 0.421 0.421 0.000
4 Pt 0.250 0.750 0.500

c | First-principles (PBE-GGA) data for a relaxed KCa2Pt crystal, as listed in Alexandria via LeMat-Bulk.

Values from the calculation:
Symmetry: No. 12

Lattice parameters (Å, degrees): 4.297 4.297 10.471 78.51 78.51 59.98
Fractional coordinates of all 4 atoms:
1 K 0.750 0.750 0.750
2 Pt 0.250 0.250 0.250
3 Ca 0.962 0.962 0.109
4 Ca 0.538 0.538 0.391

Name the most stable of them. c.

a | First-principles (PBE-GGA) data for a relaxed KCa2Pt crystal, as listed in Alexandria via LeMat-Bulk.

Values from the calculation:
Symmetry: No. 216

Lattice parameters (Å, degrees): 5.500 5.500 5.500 60.00 60.00 60.00
Fractional coordinates of all 4 atoms:
1 Ca 0.000 0.000 0.000
2 Ca 0.250 0.250 0.250
3 K 0.500 0.500 0.500
4 Pt 0.750 0.750 0.750

b | First-principles (PBE-GGA) data for a relaxed KCa2Pt crystal, as listed in Alexandria via LeMat-Bulk.

Values from the calculation:
Symmetry: No. 8

Lattice parameters (Å, degrees): 6.686 6.686 6.973 59.30 59.30 34.94
Fractional coordinates of all 4 atoms:
1 Ca 0.918 0.918 0.120
2 Ca 0.741 0.741 0.826
3 K 0.561 0.561 0.493
4 Pt 0.280 0.280 0.061

c | First-principles (PBE-GGA) data for a relaxed KCa2Pt crystal, as listed in Alexandria via LeMat-Bulk.

Values from the calculation:
Symmetry: No. 6

Lattice parameters (Å, degrees): 3.924 4.268 9.307 76.75 90.00 90.00
Fractional coordinates of all 4 atoms:
1 K 0.000 0.662 0.548
2 Ca 0.000 0.985 0.905
3 Ca 0.500 0.350 0.177
4 Pt 0.500 0.503 0.870

Name the most stable of them. c.

a | First-principles (PBE-GGA) data for a relaxed KCaPt3 crystal, as listed in Alexandria via LeMat-Bulk.

Values from the calculation:
Symmetry: No. 221

Lattice parameters (Å, degrees): 5.187 5.187 5.187 90.00 90.00 90.00
Fractional coordinates of all 5 atoms:
1 K 0.500 0.500 0.500
2 Pt 0.000 0.000 0.500
3 Pt 0.000 0.500 0.000
4 Pt 0.500 0.000 0.000
5 Ca 0.000 0.000 0.000

b | First-principles (PBE-GGA) data for a relaxed KCaPt3 crystal, as listed in Alexandria via LeMat-Bulk.

Values from the calculation:
Symmetry: No. 221

Lattice parameters (Å, degrees): 5.082 5.082 5.082 90.00 90.00 90.00
Fractional coordinates of all 5 atoms:
1 Ca 0.500 0.500 0.500
2 Pt 0.000 0.500 0.000
3 Pt 0.000 0.000 0.500
4 Pt 0.500 0.000 0.000
5 K 0.000 0.000 0.000

Name the most stable of them. a.